Entry P
Compound: ZrHF2
Source: Alexandria via LeMat-Bulk
Functional: PBE
Structure: relaxed

Output
- symmetry = R-3m (166)
- DOS at the Fermi energy (states/eV/f.u.) = 2.9

a = 7.769 Å, b = 7.769 Å, c = 7.769 Å
α = 24.86°, β = 24.86°, γ = 24.86°
Fractional positions:
1 H 0.500 0.500 0.500
2 Zr 0.000 0.000 0.000
3 F 0.914 0.914 0.914
4 F 0.086 0.086 0.086

Entry Q
Compound: ZrHF2
Source: Alexandria via LeMat-Bulk
Functional: PBE
Structure: relaxed

Output
- symmetry = R-3m (166)
- DOS at the Fermi energy (states/eV/f.u.) = 2.2

a = 6.243 Å, b = 6.243 Å, c = 6.243 Å
α = 28.45°, β = 28.45°, γ = 28.45°
Fractional positions:
1 H 0.000 0.000 0.000
2 Zr 0.500 0.500 0.500
3 F 0.936 0.936 0.936
4 F 0.064 0.064 0.064

Entry R
Compound: ZrHF2
Source: Alexandria via LeMat-Bulk
Functional: PBE
Structure: relaxed

Output
- symmetry = Fm-3m (225)
- DOS at the Fermi energy (states/eV/f.u.) = 1.9

a = 3.839 Å, b = 3.839 Å, c = 3.839 Å
α = 60.00°, β = 60.00°, γ = 60.00°
Fractional positions:
1 H 0.000 0.000 0.000
2 Zr 0.500 0.500 0.500
3 F 0.250 0.250 0.250
4 F 0.750 0.750 0.750

Most favorable structure: entry R. The second most favorable one is 0.280 eV/atom above it.

Entry P
Compound: Zr2HF
Source: Alexandria via LeMat-Bulk
Functional: PBE
Structure: relaxed

Output
- symmetry = Fm-3m (225)
- DOS at the Fermi energy (states/eV/f.u.) = 3.1

a = 4.318 Å, b = 4.318 Å, c = 4.318 Å
α = 60.00°, β = 60.00°, γ = 60.00°
Fractional positions:
1 H 0.000 0.000 0.000
2 Zr 0.250 0.250 0.250
3 Zr 0.750 0.750 0.750
4 F 0.500 0.500 0.500

Entry Q
Compound: Zr2HF
Source: Alexandria via LeMat-Bulk
Functional: PBE
Structure: relaxed

Output
- symmetry = I-42d (122)
- DOS at the Fermi energy (states/eV/f.u.) = 3.8

a = 4.994 Å, b = 4.994 Å, c = 6.030 Å
α = 65.54°, β = 65.54°, γ = 90.00°
Fractional positions:
1 H 0.500 0.500 0.000
2 H 0.250 0.750 0.500
3 Zr 0.595 0.125 0.250
4 Zr 0.155 0.625 0.250
5 Zr 0.375 0.405 0.750
6 Zr 0.875 0.845 0.750
7 F 0.000 0.000 0.000
8 F 0.750 0.250 0.500

Most favorable structure: entry Q. The second most favorable one is 0.723 eV/atom above it.